RbNCl2: optimized geometry, PBE.

Geometry as POSCAR:
```
RbNCl2
1.0
6.502 1.228 3.905
6.072 -3.875 2.676
7.611 -0.407 -0.976
N Rb Cl
1 1 2
Direct
0.000 0.000 0.000 N
0.500 0.500 0.500 Rb
0.901 0.901 0.901 Cl
0.099 0.099 0.099 Cl
```

Values from the calculation:
Total moment ... 2.00 μB/cell
Formation energy (no corrections) ... 100 meV per atom
Relative energy among the computed polymorphs ... 0.282 eV per atom